a:
A geometry-optimized AcSm4Y7 structure. Source: Alexandria, functional PBE.

Cell: 7.323 9.665 9.016 Å, 81.06 89.99 40.92°
Element x y z (fractional)
Ac  0.000  0.000  0.000
Y  0.027  0.720  0.335
Sm  0.278  0.221  0.335
Y  0.500  0.000  0.000
Y  0.776  0.223  0.338
Y  0.248  0.499  0.000
Y  0.752  0.501  0.000
Sm  0.468  0.280  0.663
Sm  0.722  0.779  0.665
Y  0.224  0.777  0.662
Y  0.973  0.280  0.665
Sm  0.532  0.720  0.337

Output
Symmetry   P-1
Magnetic moment   0.0 μB per cell
Mass density   5.93 Mg/m³

b:
A geometry-optimized AcSm4Y7 structure. Source: Alexandria, functional PBE.

Cell: 6.093 11.633 6.897 Å, 82.63 63.78 74.82°
Site moments in Bohr magnetons follow the coordinates.
Element x y z (fractional)
Sm  0.258  0.316  0.169  0.00
Sm  0.371  0.776  0.482  0.00
Sm  0.742  0.684  0.831  0.00
Y  0.784  0.920  0.511  0.00
Y  0.637  0.492  0.235  0.00
Ac  0.000  0.000  0.000  0.06
Y  0.500  0.000  0.000  0.10
Y  0.216  0.080  0.489  0.00
Sm  0.629  0.224  0.518  0.00
Y  0.363  0.508  0.765  0.00
Y  0.950  0.346  0.755  0.00
Y  0.050  0.654  0.245  0.00

Output
Symmetry   C2/m
Magnetic moment   0.3 μB per cell
Mass density   5.69 Mg/m³

Ranking the structures above by stability puts a first and b last.